DFT (PBE) results for K4Ce3FeS8 after structural relaxation.

Lattice parameters (Å, degrees): 8.174 8.725 8.176 117.94 119.99 90.00
Fractional coordinates of all 16 atoms:
K 0.500 0.000 0.000
K 0.500 0.000 0.500
K 0.000 0.000 0.000
K 0.000 0.000 0.500
Ce 0.500 0.500 0.000
Ce 0.500 0.500 0.500
Ce 0.000 0.500 0.500
Fe 0.000 0.500 0.000
S 0.227 0.697 0.971
S 0.227 0.698 0.454
S 0.264 0.291 0.527
S 0.744 0.697 0.971
S 0.256 0.303 0.029
S 0.736 0.709 0.473
S 0.773 0.302 0.546
S 0.773 0.303 0.029

Calculated values
SG: No. 166
uncorrected formation energy: -1.477 eV/atom
calculated total energy: -5.46 eV per atom